AlW: optimized geometry, PBE.

Properties
**Uncorrected energy**: -8.249 eV/atom

Cell lengths 5.0530, 5.0530, 16.7123 Å; angles 90.00, 90.00, 120.00 degrees
Positions (direct):
Al (0.5000, 0.0000, 0.0000)
Al (0.0000, 0.5000, 0.0000)
Al (0.5000, 0.5000, 0.0000)
Al (0.1635, 0.3271, 0.2500)
Al (0.1635, 0.8365, 0.2500)
Al (0.6729, 0.8365, 0.2500)
Al (0.5000, 0.0000, 0.5000)
Al (0.0000, 0.5000, 0.5000)
Al (0.5000, 0.5000, 0.5000)
Al (0.3271, 0.1635, 0.7500)
Al (0.8365, 0.1635, 0.7500)
Al (0.8365, 0.6729, 0.7500)
W (0.0000, 0.0000, 0.0817)
W (0.3333, 0.6667, 0.1234)
W (0.6667, 0.3333, 0.1677)
W (0.6667, 0.3333, 0.3323)
W (0.3333, 0.6667, 0.3766)
W (0.0000, 0.0000, 0.4183)
W (0.0000, 0.0000, 0.5817)
W (0.6667, 0.3333, 0.6234)
W (0.3333, 0.6667, 0.6677)
W (0.3333, 0.6667, 0.8323)
W (0.6667, 0.3333, 0.8766)
W (0.0000, 0.0000, 0.9183)